# 1
! GGA-PBEsol CoSbHI2, relaxed; values from VASP
&SYSTEM
  ibrav = 0, nat = 5, ntyp = 4
/
ATOMIC_SPECIES
I 126.90 I.upf
H 1.01 H.upf
Sb 121.76 Sb.upf
Co 58.93 Co.upf
CELL_PARAMETERS angstrom
3.796 0.000 0.000
0.000 5.317 0.000
0.000 0.000 5.317
ATOMIC_POSITIONS crystal
I 0.000 0.500 0.000
I 0.000 0.000 0.500
H 0.000 0.000 0.000
Sb 0.500 0.000 0.000
Co 0.500 0.500 0.500
! Total magnetization: 0.404 μB/atom
! Raw total energy: -3.005 eV per atom


# 2
! GGA-PBEsol CoRh, relaxed; values from VASP
&SYSTEM
  ibrav = 0, nat = 6, ntyp = 2
/
ATOMIC_SPECIES
Co 58.93 Co.upf
Rh 102.91 Rh.upf
CELL_PARAMETERS angstrom
-1.494 0.898 -1.930
-1.080 -1.259 2.003
-1.337 10.754 6.040
ATOMIC_POSITIONS crystal
Co 0.333 0.667 0.655
Co 0.000 0.000 0.500
Co 0.667 0.333 0.345
Rh 0.333 0.667 0.179
Rh 0.667 0.333 0.821
Rh 0.000 0.000 0.000
! Total magnetization: 0.865 μB/atom
! Raw total energy: -7.854 eV per atom


# 3
! GGA-PBEsol SrMg2HW, relaxed; values from VASP
&SYSTEM
  ibrav = 0, nat = 5, ntyp = 4
/
ATOMIC_SPECIES
Mg 24.30 Mg.upf
W 183.84 W.upf
Sr 87.62 Sr.upf
H 1.01 H.upf
CELL_PARAMETERS angstrom
-0.249 -2.988 -1.782
3.362 2.014 -3.847
4.324 -1.992 2.736
ATOMIC_POSITIONS crystal
Mg 0.000 0.500 0.000
Mg 0.000 0.000 0.500
W 0.500 0.500 0.500
Sr 0.000 0.000 0.000
H 0.500 0.000 0.000
! Total magnetization: 0.148 μB/atom
! Raw total energy: -2.867 eV per atom